Below is crystalline NaVF6 at its relaxed geometry, with properties calculated at the PBE+U level.

It has space group C2/m (No. 12), with a = 5.563 Å, b = 8.254 Å, c = 5.025 Å, α = 90.00°, β = 100.95° and γ = 90.00°. The distinct sites, in fractional coordinates, are Na at (0.000, 0.000, 0.000), V at (0.000, 0.500, 0.500), F at (0.161, 0.347, 0.726) and F at (0.248, 0.500, 0.311).

For the magnetization, the calculation gives 0.0 μB per cell. Its raw total energy is -5.108 eV/atom. For the volume, the calculation gives 14.159 Å³/atom.